DFT (PBE) results for a relaxed structure of SmCuRhAu.

Structure (CIF):
```
data_SmCuRhAu
_cell_length_a 4.706
_cell_length_b 4.706
_cell_length_c 4.706
_cell_angle_alpha 60.00
_cell_angle_beta 60.00
_cell_angle_gamma 60.00
_symmetry_space_group_name_H-M 'P 1'
_symmetry_Int_Tables_number 1
loop_
_symmetry_equiv_pos_as_xyz
'x,y,z'
loop_
_atom_site_label
_atom_site_fract_x
_atom_site_fract_y
_atom_site_fract_z
Sm1 0.000 0.000 0.000
Cu1 0.250 0.250 0.250
Rh1 0.750 0.750 0.750
Au1 0.500 0.500 0.500
```

Computed properties:
Crystal system: cubic
Formation enthalpy at 0 K, eV per formula unit: -1.29
E_tot, eV per cell: -20.731
Theoretical density, g/cm3: 11.6
Magnetic moment, μB per atom: 0.00